(1)
! SrTlRh2 SCAN single point on PBEsol structure; values from VASP
&SYSTEM
  ibrav = 0, nat = 4, ntyp = 3
/
ATOMIC_SPECIES
Sr 87.62 Sr.upf
Tl 204.38 Tl.upf
Rh 102.91 Rh.upf
CELL_PARAMETERS angstrom
2.312 1.335 5.180
-2.312 1.335 5.180
0.000 -2.669 5.180
ATOMIC_POSITIONS crystal
Sr 0.000 0.000 0.000
Tl 0.500 0.500 0.500
Rh 0.183 0.183 0.183
Rh 0.817 0.817 0.817
! SG	R-3m
! energy relative to the elements	-0.20	eV/atom
! energy above the most stable polymorph in this dataset	0.0000	eV per atom
! spin magnetization	0.0006	μB per atom
! energy	-40.74	eV per atom



(2)
! LaCdIN2 SCAN single point on PBEsol structure; values from VASP
&SYSTEM
  ibrav = 0, nat = 5, ntyp = 4
/
ATOMIC_SPECIES
La 138.91 La.upf
Cd 112.41 Cd.upf
I 126.90 I.upf
N 14.01 N.upf
CELL_PARAMETERS angstrom
4.413 0.000 0.000
0.000 4.413 0.000
0.000 0.000 5.407
ATOMIC_POSITIONS crystal
La 0.000 0.000 0.000
Cd 0.500 0.500 0.500
I 0.500 0.500 0.000
N 0.000 0.500 0.500
N 0.500 0.000 0.500
! SG	P4/mmm
! spin magnetization	0.3311	μB per atom
! energy	-25.04	eV per atom



(3)
! ReIr3 SCAN single point on PBEsol structure; values from VASP
&SYSTEM
  ibrav = 0, nat = 24, ntyp = 2
/
ATOMIC_SPECIES
Re 186.21 Re.upf
Ir 192.22 Ir.upf
CELL_PARAMETERS angstrom
5.442 0.000 0.000
0.000 13.243 0.000
0.000 0.000 4.715
ATOMIC_POSITIONS crystal
Re 0.250 0.085 0.172
Re 0.250 0.415 0.172
Re 0.250 0.750 0.497
Re 0.750 0.250 0.503
Re 0.750 0.585 0.828
Re 0.750 0.915 0.828
Ir 0.000 0.083 0.669
Ir 0.000 0.417 0.669
Ir 0.000 0.583 0.331
Ir 0.000 0.917 0.331
Ir 0.002 0.750 0.001
Ir 0.250 0.250 0.493
Ir 0.250 0.586 0.830
Ir 0.250 0.914 0.830
Ir 0.498 0.750 0.001
Ir 0.500 0.083 0.669
Ir 0.500 0.417 0.669
Ir 0.500 0.583 0.331
Ir 0.500 0.917 0.331
Ir 0.502 0.250 0.999
Ir 0.750 0.086 0.170
Ir 0.750 0.414 0.170
Ir 0.750 0.750 0.507
Ir 0.998 0.250 0.999
! SG	Pmmn
! energy relative to the elements	-0.13	eV/atom
! energy above the most stable polymorph in this dataset	0.0270	eV per atom
! spin magnetization	0.0000	μB per atom
! energy	-71.23	eV per atom



(4)
! TcIrC2 SCAN single point on PBEsol structure; values from VASP
&SYSTEM
  ibrav = 0, nat = 4, ntyp = 3
/
ATOMIC_SPECIES
Tc 98.00 Tc.upf
Ir 192.22 Ir.upf
C 12.01 C.upf
CELL_PARAMETERS angstrom
0.000 2.669 2.669
2.669 0.000 2.669
2.669 2.669 0.000
ATOMIC_POSITIONS crystal
Tc 0.000 0.000 0.000
Ir 0.500 0.500 0.500
C 0.250 0.250 0.250
C 0.750 0.750 0.750
! SG	Fm-3m
! energy relative to the elements	1.32	eV/atom
! spin magnetization	0.0000	μB per atom
! energy	-30.27	eV per atom



(5)
! Fe2AgAs2 SCAN single point on PBEsol structure; values from VASP
&SYSTEM
  ibrav = 0, nat = 5, ntyp = 3
/
ATOMIC_SPECIES
Fe 55.84 Fe.upf
Ag 107.87 Ag.upf
As 74.92 As.upf
CELL_PARAMETERS angstrom
-1.873 1.873 5.114
1.873 -1.873 5.114
1.873 1.873 -5.114
ATOMIC_POSITIONS crystal
Fe 0.114 0.114 0.000
Fe 0.886 0.886 0.000
Ag 0.500 0.500 0.000
As 0.250 0.750 0.500
As 0.750 0.250 0.500
! SG	I4/mmm
! energy relative to the elements	0.38	eV/atom
! spin magnetization	0.0000	μB per atom
! energy	-21.22	eV per atom



(6)
! HfRe3Hg SCAN single point on PBEsol structure; values from VASP
&SYSTEM
  ibrav = 0, nat = 5, ntyp = 3
/
ATOMIC_SPECIES
Hf 178.49 Hf.upf
Re 186.21 Re.upf
Hg 200.59 Hg.upf
CELL_PARAMETERS angstrom
4.728 0.000 0.000
0.000 4.728 0.000
0.000 0.000 4.728
ATOMIC_POSITIONS crystal
Hf 0.000 0.000 0.000
Re 0.000 0.000 0.500
Re 0.000 0.500 0.000
Re 0.500 0.000 0.000
Hg 0.500 0.500 0.500
! SG	Pm-3m
! energy relative to the elements	2.58	eV/atom
! spin magnetization	0.4295	μB per atom
! energy	-66.25	eV per atom



(7)
! SrOs2Br SCAN single point on PBEsol structure; values from VASP
&SYSTEM
  ibrav = 0, nat = 4, ntyp = 3
/
ATOMIC_SPECIES
Sr 87.62 Sr.upf
Os 190.23 Os.upf
Br 79.90 Br.upf
CELL_PARAMETERS angstrom
2.834 0.000 0.000
0.000 5.256 0.000
0.000 0.000 5.923
ATOMIC_POSITIONS crystal
Sr 0.000 0.000 0.000
Os 0.500 0.500 0.188
Os 0.500 0.500 0.812
Br 0.000 0.000 0.500
! SG	Pmmm
! energy above the most stable polymorph in this dataset	0.1608	eV per atom
! spin magnetization	0.0000	μB per atom
! energy	-45.40	eV per atom



(8)
! BaTa2W SCAN single point on PBEsol structure; values from VASP
&SYSTEM
  ibrav = 0, nat = 4, ntyp = 3
/
ATOMIC_SPECIES
Ba 137.33 Ba.upf
Ta 180.95 Ta.upf
W 183.84 W.upf
CELL_PARAMETERS angstrom
1.580 0.912 10.068
-1.580 0.912 10.068
0.000 -1.825 10.068
ATOMIC_POSITIONS crystal
Ba 0.000 0.000 0.000
Ta 0.232 0.232 0.232
Ta 0.768 0.768 0.768
W 0.500 0.500 0.500
! SG	R-3m
! energy relative to the elements	0.89	eV/atom
! energy above the most stable polymorph in this dataset	0.1479	eV per atom
! spin magnetization	0.0000	μB per atom
! energy	-59.71	eV per atom



(9)
! La4As3 SCAN single point on PBEsol structure; values from VASP
&SYSTEM
  ibrav = 0, nat = 14, ntyp = 2
/
ATOMIC_SPECIES
La 138.91 La.upf
As 74.92 As.upf
CELL_PARAMETERS angstrom
-4.539 4.539 4.539
4.539 -4.539 4.539
4.539 4.539 -4.539
ATOMIC_POSITIONS crystal
La 0.000 0.363 0.500
La 0.000 0.863 0.500
La 0.137 0.137 0.137
La 0.363 0.500 0.000
La 0.500 0.000 0.363
La 0.500 0.000 0.863
La 0.637 0.637 0.637
La 0.863 0.500 0.000
As 0.125 0.750 0.875
As 0.250 0.625 0.375
As 0.375 0.250 0.625
As 0.625 0.375 0.250
As 0.750 0.875 0.125
As 0.875 0.125 0.750
! SG	I-43d
! energy relative to the elements	-1.49	eV/atom
! spin magnetization	0.0000	μB per atom
! energy	-34.77	eV per atom



(10)
! Ca2SCl SCAN single point on PBEsol structure; values from VASP
&SYSTEM
  ibrav = 0, nat = 8, ntyp = 3
/
ATOMIC_SPECIES
Ca 40.08 Ca.upf
S 32.06 S.upf
Cl 35.45 Cl.upf
CELL_PARAMETERS angstrom
-3.129 3.129 6.297
3.129 -3.129 6.297
3.129 3.129 -6.297
ATOMIC_POSITIONS crystal
Ca 0.108 0.625 0.983
Ca 0.375 0.358 0.483
Ca 0.642 0.125 0.017
Ca 0.875 0.892 0.517
S 0.000 0.000 0.000
S 0.750 0.250 0.500
Cl 0.250 0.750 0.500
Cl 0.500 0.500 0.000
! SG	I-42d
! spin magnetization	0.2364	μB per atom
! energy	-11.08	eV per atom



(11)
! Ca2C SCAN single point on PBEsol structure; values from VASP
&SYSTEM
  ibrav = 0, nat = 6, ntyp = 2
/
ATOMIC_SPECIES
Ca 40.08 Ca.upf
C 12.01 C.upf
CELL_PARAMETERS angstrom
6.922 -1.675 0.000
6.922 1.675 0.000
-3.084 0.000 6.384
ATOMIC_POSITIONS crystal
Ca 0.116 0.116 0.279
Ca 0.126 0.126 0.748
Ca 0.874 0.874 0.252
Ca 0.884 0.884 0.721
C 0.471 0.471 0.556
C 0.529 0.529 0.444
! SG	C2/m
! energy relative to the elements	0.00	eV/atom
! energy above the most stable polymorph in this dataset	0.0214	eV per atom
! spin magnetization	0.0142	μB per atom
! energy	-9.81	eV per atom



(12)
! ZrCoH3 SCAN single point on PBEsol structure; values from VASP
&SYSTEM
  ibrav = 0, nat = 10, ntyp = 3
/
ATOMIC_SPECIES
Zr 91.22 Zr.upf
Co 58.93 Co.upf
H 1.01 H.upf
CELL_PARAMETERS angstrom
1.754 -5.129 0.000
1.754 5.129 0.000
0.000 0.000 4.223
ATOMIC_POSITIONS crystal
Zr 0.134 0.866 0.750
Zr 0.866 0.134 0.250
Co 0.428 0.572 0.750
Co 0.572 0.428 0.250
H 0.074 0.926 0.250
H 0.314 0.686 0.006
H 0.314 0.686 0.494
H 0.686 0.314 0.506
H 0.686 0.314 0.994
H 0.926 0.074 0.750
! SG	Cmcm
! spin magnetization	0.2630	μB per atom
! energy	-12.13	eV per atom



(13)
! Ta2BeCd SCAN single point on PBEsol structure; values from VASP
&SYSTEM
  ibrav = 0, nat = 4, ntyp = 3
/
ATOMIC_SPECIES
Ta 180.95 Ta.upf
Be 9.01 Be.upf
Cd 112.41 Cd.upf
CELL_PARAMETERS angstrom
2.842 0.000 0.000
0.000 3.944 0.000
-0.448 0.000 5.689
ATOMIC_POSITIONS crystal
Ta 0.035 0.000 0.271
Ta 0.965 0.000 0.729
Be 0.500 0.500 0.500
Cd 0.500 0.500 0.000
! SG	P2/m
! energy relative to the elements	0.25	eV/atom
! energy above the most stable polymorph in this dataset	0.1067	eV per atom
! spin magnetization	0.0000	μB per atom
! energy	-41.73	eV per atom



(14)
! MnOF SCAN single point on PBEsol structure; values from VASP
&SYSTEM
  ibrav = 0, nat = 24, ntyp = 3
/
ATOMIC_SPECIES
Mn 54.94 Mn.upf
O 16.00 O.upf
F 19.00 F.upf
CELL_PARAMETERS angstrom
4.524 0.000 0.000
0.000 9.947 0.000
-4.110 0.000 5.555
ATOMIC_POSITIONS crystal
Mn 0.000 0.011 0.000
Mn 0.000 0.989 0.500
Mn 0.236 0.250 0.789
Mn 0.236 0.750 0.289
Mn 0.242 0.254 0.292
Mn 0.242 0.746 0.792
Mn 0.911 0.487 0.482
Mn 0.911 0.513 0.982
O 0.018 0.082 0.264
O 0.018 0.918 0.764
O 0.170 0.329 0.519
O 0.170 0.671 0.019
O 0.228 0.174 0.027
O 0.228 0.826 0.527
O 0.393 0.423 0.253
O 0.393 0.577 0.753
F 0.480 0.101 0.764
F 0.480 0.899 0.264
F 0.713 0.351 0.026
F 0.713 0.649 0.526
F 0.752 0.145 0.517
F 0.752 0.855 0.017
F 0.907 0.390 0.747
F 0.907 0.610 0.247
! SG	Pc
! spin magnetization	0.6667	μB per atom
! energy	-11.77	eV per atom



(15)
! MgReOs2 SCAN single point on PBEsol structure; values from VASP
&SYSTEM
  ibrav = 0, nat = 4, ntyp = 3
/
ATOMIC_SPECIES
Mg 24.30 Mg.upf
Re 186.21 Re.upf
Os 190.23 Os.upf
CELL_PARAMETERS angstrom
2.795 0.000 0.000
0.000 2.795 0.000
0.000 0.000 7.605
ATOMIC_POSITIONS crystal
Mg 0.000 0.000 0.000
Re 0.000 0.000 0.500
Os 0.500 0.500 0.265
Os 0.500 0.500 0.735
! SG	P4/mmm
! energy relative to the elements	0.11	eV/atom
! spin magnetization	0.0000	μB per atom
! energy	-54.84	eV per atom



(16)
! BeNi SCAN single point on PBEsol structure; values from VASP
&SYSTEM
  ibrav = 0, nat = 4, ntyp = 2
/
ATOMIC_SPECIES
Be 9.01 Be.upf
Ni 58.69 Ni.upf
CELL_PARAMETERS angstrom
2.398 0.000 0.000
-1.199 2.076 0.000
0.000 0.000 7.416
ATOMIC_POSITIONS crystal
Be 0.333 0.667 0.124
Be 0.667 0.333 0.876
Ni 0.333 0.667 0.640
Ni 0.667 0.333 0.360
! SG	P-3m1
! energy relative to the elements	-0.12	eV/atom
! spin magnetization	0.0005	μB per atom
! energy	-10.39	eV per atom



(17)
! Zr2BrF SCAN single point on PBEsol structure; values from VASP
&SYSTEM
  ibrav = 0, nat = 4, ntyp = 3
/
ATOMIC_SPECIES
Zr 91.22 Zr.upf
Br 79.90 Br.upf
F 19.00 F.upf
CELL_PARAMETERS angstrom
0.000 3.211 3.211
3.211 0.000 3.211
3.211 3.211 0.000
ATOMIC_POSITIONS crystal
Zr 0.250 0.250 0.250
Zr 0.750 0.750 0.750
Br 0.000 0.000 0.000
F 0.500 0.500 0.500
! SG	Fm-3m
! spin magnetization	0.0000	μB per atom
! energy	-21.80	eV per atom



(18)
! CaMgTc2 SCAN single point on PBEsol structure; values from VASP
&SYSTEM
  ibrav = 0, nat = 4, ntyp = 3
/
ATOMIC_SPECIES
Ca 40.08 Ca.upf
Mg 24.30 Mg.upf
Tc 98.00 Tc.upf
CELL_PARAMETERS angstrom
-1.629 2.463 4.744
1.629 -2.463 4.744
1.629 2.463 -4.744
ATOMIC_POSITIONS crystal
Ca 0.000 0.000 0.000
Mg 0.285 0.785 0.500
Tc 0.550 0.550 0.000
Tc 0.728 0.228 0.500
! SG	Imm2
! energy relative to the elements	0.33	eV/atom
! spin magnetization	0.0001	μB per atom
! energy	-20.86	eV per atom



(19)
! InRhBr2 SCAN single point on PBEsol structure; values from VASP
&SYSTEM
  ibrav = 0, nat = 4, ntyp = 3
/
ATOMIC_SPECIES
In 114.82 In.upf
Rh 102.91 Rh.upf
Br 79.90 Br.upf
CELL_PARAMETERS angstrom
3.582 0.000 0.000
0.000 3.582 0.000
0.000 0.000 7.194
ATOMIC_POSITIONS crystal
In 0.000 0.000 0.000
Rh 0.500 0.500 0.115
Br 0.000 0.000 0.376
Br 0.500 0.500 0.761
! SG	P4mm
! energy above the most stable polymorph in this dataset	0.1345	eV per atom
! spin magnetization	0.0000	μB per atom
! energy	-26.69	eV per atom



(20)
! NaTaNi2 SCAN single point on PBEsol structure; values from VASP
&SYSTEM
  ibrav = 0, nat = 4, ntyp = 3
/
ATOMIC_SPECIES
Na 22.99 Na.upf
Ta 180.95 Ta.upf
Ni 58.69 Ni.upf
CELL_PARAMETERS angstrom
0.000 3.033 3.033
3.033 0.000 3.033
3.033 3.033 0.000
ATOMIC_POSITIONS crystal
Na 0.000 0.000 0.000
Ta 0.500 0.500 0.500
Ni 0.250 0.250 0.250
Ni 0.750 0.750 0.750
! SG	Fm-3m
! energy relative to the elements	0.40	eV/atom
! spin magnetization	0.0000	μB per atom
! energy	-25.39	eV per atom